This record from Alexandria describes a geometry-optimized FeHg2CF structure. The functional is PBE+U.

Summary:
As for the space group: P4/mmm (123). As for the total energy: -2.573 eV per atom.

Lattice parameters (Å, degrees): 4.753 4.753 3.951 90.00 90.00 90.00
Sites, in units of the cell vectors:
Fe 0.000 0.000 0.000
Hg 0.000 0.500 0.500
Hg 0.500 0.000 0.500
C 0.500 0.500 0.500
F 0.500 0.500 0.000